The following is a DFT calculation (PBEsol) of KHfGa2Tc after structural relaxation.

Results
Electronic total energy   -5.735 eV/atom
Symmetry   No. 123
Crystal system   tetragonal
Energy of formation   0.91 eV/f.u.

Cell lengths 4.831, 4.975, 4.975 Å; angles 90.00, 90.00, 90.00 degrees
Fractional coordinates of all 5 atoms:
1 K 0.500 0.500 0.500
2 Ga 0.000 0.500 0.000
3 Tc 0.000 0.000 0.000
4 Ga 0.000 0.000 0.500
5 Hf 0.500 0.000 0.000

---

The following is a DFT calculation (PBEsol) of RbLa2HfGa after structural relaxation.

Results
Electronic total energy   -4.632 eV/atom
Symmetry   No. 123
Crystal system   tetragonal
Energy of formation   2.40 eV/f.u.

Cell lengths 5.395, 5.713, 5.713 Å; angles 90.00, 90.00, 90.00 degrees
Fractional coordinates of all 5 atoms:
1 Rb 0.500 0.500 0.500
2 La 0.000 0.500 0.000
3 Ga 0.500 0.000 0.000
4 La 0.000 0.000 0.500
5 Hf 0.000 0.000 0.000

---

The following is a DFT calculation (PBEsol) of LaHfGa2Te after structural relaxation.

Results
Electronic total energy   -4.088 eV/atom
Symmetry   No. 123
Crystal system   tetragonal
ΔE_f (raw)   5.62 eV/f.u.

Cell lengths 5.441, 5.446, 5.446 Å; angles 90.00, 90.00, 90.00 degrees
Fractional coordinates of all 5 atoms:
1 Hf 0.500 0.000 0.000
2 Ga 0.000 0.500 0.000
3 Ga 0.000 0.000 0.500
4 La 0.000 0.000 0.000
5 Te 0.500 0.500 0.500